{
  "formula": "CeVGeO6",
  "functional": "PBE with a Hubbard U",
  "state": "relaxed",
  "e_tot_ev_per_atom": -7.52,
  "cell": [[4.740, 0.000, 0.000], [0.000, 4.740, 0.000], [0.000, 0.000, 9.503]],
  "species": ["Ce", "Ce", "V", "V", "Ge", "Ge", "O", "O", "O", "O", "O", "O", "O", "O", "O", "O", "O", "O"],
  "fractional_positions": [[0.000, 0.000, 0.000], [0.500, 0.500, 0.500], [0.000, 0.000, 0.668], [0.500, 0.500, 0.168], [0.000, 0.000, 0.336], [0.500, 0.500, 0.836], [0.174, 0.174, 0.500], [0.214, 0.214, 0.190], [0.216, 0.216, 0.822], [0.284, 0.716, 0.322], [0.286, 0.714, 0.690], [0.326, 0.674, 0.000], [0.674, 0.326, 0.000], [0.714, 0.286, 0.690], [0.716, 0.284, 0.322], [0.784, 0.784, 0.822], [0.786, 0.786, 0.190], [0.826, 0.826, 0.500]]
}